A geometry-optimized TaBe9Mo2 structure, computed with PBE.

Cell: 4.451 4.451 7.390 Å, 72.47 72.47 60.00°
Element x y z (fractional)
Ta 0.000 0.000 0.000
Be 0.666 0.666 0.002
Be 0.334 0.334 0.998
Be 0.500 0.500 0.500
Be 0.416 0.416 0.245
Be 0.923 0.416 0.245
Be 0.416 0.923 0.245
Be 0.584 0.584 0.755
Be 0.584 0.077 0.755
Be 0.077 0.584 0.755
Mo 0.856 0.856 0.432
Mo 0.144 0.144 0.568

M_tot   0.0000 μB/atom
Crystal system   trigonal
Calculated volume   118.9 Å³ per cell
Space group   No. 166
ΔH_f (0 K)   -0.28 eV/atom
Fermi-level density of states   0.27 states/eV/atom